Record 1
The following is a PBE calculation of a geometry-optimized Zn2GeOsPd structure, from Alexandria.

Lattice parameters (Å, degrees): 4.6611 4.6611 4.5915 90.00 90.00 90.00
Element x y z (fractional)
Zn 0.0000 0.5000 0.0000
Zn 0.5000 0.0000 0.0000
Ge 0.0000 0.0000 0.5000
Os 0.5000 0.5000 0.5000
Pd 0.0000 0.0000 0.0000

---

Record 2
The following is a PBE calculation of a geometry-optimized Pm2Ge2Os structure, from Alexandria.

Lattice parameters (Å, degrees): 7.6640 7.6640 7.5415 90.00 90.00 146.88
Element x y z (fractional)
Pm 0.0324 0.9676 0.5000
Pm 0.2244 0.7756 0.8435
Pm 0.7756 0.2244 0.3435
Pm 0.9676 0.0324 0.0000
Ge 0.1562 0.8438 0.2048
Ge 0.4304 0.5696 0.2955
Ge 0.5696 0.4304 0.7955
Ge 0.8438 0.1562 0.7048
Os 0.4117 0.5883 0.6359
Os 0.5883 0.4117 0.1359

---

Result set for N(E_F): 4.75, 8.37 states/eV per cell, one per record in the order listed.
Result set for DFT total energy: -18.3, -65.0 eV/cell, one per record in the order listed.